! HfAg3Pd | Alexandria via LeMat-Bulk | meta-GGA SCAN | single point on PBEsol structure; values from VASP
! - calculated volume (Å³/cell) = 111.8
! - raw total energy (eV per atom) = -36.839
! - calculated formation energy (eV/f.u.) = 5.35
! - symmetry = No. 221
&SYSTEM
  ibrav = 0, nat = 5, ntyp = 3
/
ATOMIC_SPECIES
Hf 178.49 Hf.upf
Pd 106.42 Pd.upf
Ag 107.87 Ag.upf
CELL_PARAMETERS angstrom
4.8174 0.0000 0.0000
0.0000 4.8174 0.0000
0.0000 0.0000 4.8174
ATOMIC_POSITIONS angstrom
Hf 2.4087 2.4087 2.4087
Pd 0.0000 0.0000 0.0000
Ag 0.0000 2.4087 0.0000
Ag 2.4087 0.0000 0.0000
Ag 0.0000 0.0000 2.4087


! MoIr2SCl | Alexandria via LeMat-Bulk | meta-GGA SCAN | single point on PBEsol structure; values from VASP
! - calculated volume (Å³/cell) = 101.5
! - raw total energy (eV per atom) = -37.526
! - symmetry = No. 123
! - ΔE_f (raw) (eV per atom) = 1.412
&SYSTEM
  ibrav = 0, nat = 5, ntyp = 4
/
ATOMIC_SPECIES
Ir 192.22 Ir.upf
S 32.06 S.upf
Cl 35.45 Cl.upf
Mo 95.94 Mo.upf
CELL_PARAMETERS angstrom
-3.0288 -3.2811 0.4889
2.7704 -2.0718 3.2590
-2.1550 2.4990 3.4205
ATOMIC_POSITIONS angstrom
Ir -1.0775 1.2495 1.7103
S -1.5144 -1.6406 0.2444
Cl -1.2067 -1.4270 3.5842
Ir 1.3852 -1.0359 1.6295
Mo 0.0000 0.0000 0.0000


! KRb2GeRh | Alexandria via LeMat-Bulk | meta-GGA SCAN | single point on PBEsol structure; values from VASP
! - calculated volume (Å³/cell) = 188.7
! - raw total energy (eV per atom) = -19.737
! - calculated formation energy (eV/f.u.) = 3.98
! - symmetry = No. 123
&SYSTEM
  ibrav = 0, nat = 5, ntyp = 4
/
ATOMIC_SPECIES
Rh 102.91 Rh.upf
K 39.10 K.upf
Ge 72.64 Ge.upf
Rb 85.47 Rb.upf
CELL_PARAMETERS angstrom
5.6633 0.0000 0.0000
0.0000 5.6633 0.0000
0.0000 0.0000 5.8836
ATOMIC_POSITIONS angstrom
Rh 0.0000 0.0000 0.0000
K 0.0000 0.0000 2.9418
Ge 2.8316 2.8316 2.9418
Rb 0.0000 2.8316 0.0000
Rb 2.8316 0.0000 0.0000


! CoCuNi2 | Alexandria via LeMat-Bulk | meta-GGA SCAN | single point on PBEsol structure; values from VASP
! - calculated volume (Å³/cell) = 42.3
! - raw total energy (eV per atom) = -16.133
! - calculated formation energy (eV/f.u.) = 0.32
! - symmetry = No. 25
&SYSTEM
  ibrav = 0, nat = 4, ntyp = 3
/
ATOMIC_SPECIES
Ni 58.69 Ni.upf
Cu 63.55 Cu.upf
Co 58.93 Co.upf
CELL_PARAMETERS angstrom
-0.2364 -0.7004 2.3258
-1.6721 -3.4693 -1.2148
3.8835 -1.8182 -0.1529
ATOMIC_POSITIONS angstrom
Ni 1.9155 -3.0229 -0.7157
Ni 0.1528 -0.0715 -0.0060
Cu -0.1420 -2.4651 0.5235
Co 1.9904 -1.3374 1.0799


! CdHg2RhAu | Alexandria via LeMat-Bulk | meta-GGA SCAN | single point on PBEsol structure; values from VASP
! - calculated volume (Å³/cell) = 128.9
! - raw total energy (eV per atom) = -53.481
! - calculated formation energy (eV/f.u.) = 2.27
! - symmetry = No. 123
&SYSTEM
  ibrav = 0, nat = 5, ntyp = 4
/
ATOMIC_SPECIES
Hg 200.59 Hg.upf
Rh 102.91 Rh.upf
Au 196.97 Au.upf
Cd 112.41 Cd.upf
CELL_PARAMETERS angstrom
-3.5485 -3.4595 -0.5499
3.0660 -2.6577 -3.0649
1.8334 -2.5192 4.0186
ATOMIC_POSITIONS angstrom
Hg 1.5330 -1.3289 -1.5324
Rh 0.0000 0.0000 0.0000
Au -1.7743 -1.7298 -0.2749
Cd 0.6754 -4.3182 0.2019
Hg 0.9167 -1.2596 2.0093


! FeSb2CI | Alexandria via LeMat-Bulk | meta-GGA SCAN | single point on PBEsol structure; values from VASP
! - calculated volume (Å³/cell) = 119.7
! - raw total energy (eV per atom) = -26.183
! - symmetry = No. 123
! - ΔE_f (raw) (eV per atom) = 1.715
&SYSTEM
  ibrav = 0, nat = 5, ntyp = 4
/
ATOMIC_SPECIES
Sb 121.76 Sb.upf
I 126.90 I.upf
C 12.01 C.upf
Fe 55.84 Fe.upf
CELL_PARAMETERS angstrom
4.7202 0.0000 0.0000
0.0000 4.7202 0.0000
0.0000 0.0000 5.3742
ATOMIC_POSITIONS angstrom
Sb 2.3601 0.0000 0.0000
I 0.0000 0.0000 2.6871
Sb 0.0000 2.3601 0.0000
C 2.3601 2.3601 2.6871
Fe 0.0000 0.0000 0.0000


! Na5V7O14 | Alexandria via LeMat-Bulk | meta-GGA SCAN | single point on PBEsol structure; values from VASP
! - calculated volume (Å³/cell) = 269.7
! - raw total energy (eV per atom) = -11.324
! - symmetry = No. 2
! - ΔE_f (raw) (eV per atom) = -2.449
&SYSTEM
  ibrav = 0, nat = 26, ntyp = 3
/
ATOMIC_SPECIES
O 16.00 O.upf
Na 22.99 Na.upf
V 50.94 V.upf
CELL_PARAMETERS angstrom
4.8785 0.0401 0.0520
-0.9170 7.0469 -0.2958
-1.6460 -0.6921 7.8458
ATOMIC_POSITIONS angstrom
O -1.2660 1.0978 7.2879
Na -1.3286 5.9653 7.0335
O 1.1701 0.2608 6.2483
O 1.1454 6.1341 1.3537
O 0.2859 5.2741 3.9278
V 0.5713 0.0664 4.4053
Na 3.7143 2.2503 2.6840
V -0.4671 5.4348 2.1202
V 1.7443 6.3284 3.1967
O 2.7730 4.5398 2.7197
Na -1.3988 4.1446 4.9181
O 2.8256 2.5788 0.6597
Na 1.1578 3.1974 3.8010
O 1.9699 2.7552 5.9640
O 2.0297 1.1208 3.6742
V 1.9898 4.3105 0.8133
O 2.7544 6.3599 4.8782
V 0.3258 2.0844 6.7888
O -0.4574 1.8550 4.8824
O 3.5816 5.2970 0.3142
V -0.4585 3.5234 -0.1479
Na 3.6441 0.4296 0.5686
O 0.3457 3.6397 1.6380
O -0.5101 3.8160 6.9423
O -0.4388 0.0350 2.7239
V 2.7827 0.9601 5.4819


! SmCo9Si4 | Alexandria via LeMat-Bulk | meta-GGA SCAN | single point on PBEsol structure; values from VASP
! - calculated volume (Å³/cell) = 327.6
! - raw total energy (eV per atom) = -17.573
! - symmetry = No. 140
! - ΔE_f (raw) (eV per atom) = -0.413
&SYSTEM
  ibrav = 0, nat = 28, ntyp = 3
/
ATOMIC_SPECIES
Sm 150.36 Sm.upf
Co 58.93 Co.upf
Si 28.09 Si.upf
CELL_PARAMETERS angstrom
-2.3843 -3.3871 6.4070
7.6502 0.7861 -1.2800
-4.1509 6.1671 1.7156
ATOMIC_POSITIONS angstrom
Sm 2.1913 1.0880 1.3907
Co 1.3867 0.9289 4.3808
Co -2.6051 -0.0843 4.1709
Co -0.9997 0.9953 0.7966
Co -0.4564 -0.5532 5.2489
Co -2.2004 -2.2729 5.2455
Co 1.8413 -1.5293 5.5879
Si 1.5451 3.1076 3.7626
Co -3.9301 2.8643 3.9518
Co 1.5714 4.1193 1.5937
Co -4.0385 1.1479 5.4655
Si -0.4301 0.4585 3.0800
Si -3.9803 3.3765 6.3911
Si 3.2393 -0.5177 3.9294
Co -2.4967 1.6321 2.6572
Co -0.1101 4.8345 3.6836
Co -2.0755 3.0836 0.8578
Co -0.7263 5.0954 1.2548
Si 5.0953 0.1896 0.4516
Si -2.2861 -0.2488 6.5579
Co -5.5355 1.7847 7.3261
Co -4.3348 5.0529 2.8771
Si 3.4011 3.8148 0.2847
Co -1.1921 -1.6936 3.2035
Si -2.1243 4.0838 2.9132
Co 1.2251 -1.2684 3.1591
Co -0.2717 2.6372 2.4618
Sm -1.0763 2.4781 5.4520


! AgAs2 | Alexandria via LeMat-Bulk | meta-GGA SCAN | single point on PBEsol structure; values from VASP
! - calculated volume (Å³/cell) = 176.9
! - raw total energy (eV per atom) = -23.647
! - calculated formation energy (eV/f.u.) = 0.81
! - symmetry = No. 189
&SYSTEM
  ibrav = 0, nat = 9, ntyp = 2
/
ATOMIC_SPECIES
Ag 107.87 Ag.upf
As 74.92 As.upf
CELL_PARAMETERS angstrom
3.5817 0.0000 0.0000
0.0000 7.5522 0.0000
0.0000 -3.7761 6.5404
ATOMIC_POSITIONS angstrom
Ag 0.0000 3.7761 2.1801
As 1.7908 -1.9917 3.4498
As 0.0000 2.6954 4.6686
As 1.7908 3.9835 0.0000
As 0.0000 2.1613 0.0000
As 0.0000 -1.0807 1.8717
Ag 0.0000 0.0000 4.3602
Ag 1.7908 0.0000 0.0000
As 1.7908 1.7844 3.0906


! La3Ge3Cl2 | Alexandria via LeMat-Bulk | meta-GGA SCAN | single point on PBEsol structure; values from VASP
! - calculated volume (Å³/cell) = 402.4
! - raw total energy (eV per atom) = -26.876
! - symmetry = No. 12
! - ΔE_f (raw) (eV per atom) = -1.559
&SYSTEM
  ibrav = 0, nat = 16, ntyp = 3
/
ATOMIC_SPECIES
Cl 35.45 Cl.upf
La 138.91 La.upf
Ge 72.64 Ge.upf
CELL_PARAMETERS angstrom
-0.7766 3.9149 -1.4927
-2.1926 -5.4438 -7.0545
-9.5035 -0.0194 4.8935
ATOMIC_POSITIONS angstrom
Cl -9.7252 0.5392 0.3919
Cl -5.5375 0.0432 -3.0878
Cl -2.7475 -2.0876 -4.0455
Cl -6.9353 -1.5916 -0.5658
La -6.8125 -2.6759 -3.4738
Ge -11.6930 -1.0569 -2.7705
La -9.7266 -2.2137 -0.7454
Ge -3.1702 -0.6773 -0.1270
Ge -5.9839 -0.1805 2.6400
Ge -0.7798 -0.4914 -0.8831
Ge -9.3026 -0.8710 -3.5267
Ge -6.4888 -1.3679 -6.2936
La -8.4528 1.7155 2.8150
La -5.6603 1.1276 -0.1799
La -2.7462 0.6654 -2.9083
La -4.0200 -3.2639 -6.4686


! MgZrTc2 | Alexandria via LeMat-Bulk | meta-GGA SCAN | single point on PBEsol structure; values from VASP
! - calculated volume (Å³/cell) = 65.1
! - raw total energy (eV per atom) = -26.362
! - calculated formation energy (eV/f.u.) = 0.35
! - symmetry = No. 123
&SYSTEM
  ibrav = 0, nat = 4, ntyp = 3
/
ATOMIC_SPECIES
Tc 98.00 Tc.upf
Zr 91.22 Zr.upf
Mg 24.30 Mg.upf
CELL_PARAMETERS angstrom
3.3880 0.0000 0.0000
0.0000 4.3822 0.0425
0.0000 -0.0415 4.3822
ATOMIC_POSITIONS angstrom
Tc 0.0000 -0.0208 2.1911
Zr 1.6940 0.0000 0.0000
Mg 1.6940 2.1703 2.2124
Tc 0.0000 2.1911 0.0212


! TlRh3F | Alexandria via LeMat-Bulk | meta-GGA SCAN | single point on PBEsol structure; values from VASP
! - calculated volume (Å³/cell) = 123.0
! - raw total energy (eV per atom) = -33.921
! - symmetry = No. 221
! - ΔE_f (raw) (eV per atom) = 1.522
&SYSTEM
  ibrav = 0, nat = 5, ntyp = 3
/
ATOMIC_SPECIES
Rh 102.91 Rh.upf
Tl 204.38 Tl.upf
F 19.00 F.upf
CELL_PARAMETERS angstrom
4.9729 0.0000 0.0000
0.0000 4.9729 0.0000
0.0000 0.0000 4.9729
ATOMIC_POSITIONS angstrom
Rh 0.0000 0.0000 2.4864
Rh 0.0000 2.4864 0.0000
Tl 0.0000 0.0000 0.0000
Rh 2.4864 0.0000 0.0000
F 2.4864 2.4864 2.4864


! Sc3MoI | Alexandria via LeMat-Bulk | meta-GGA SCAN | single point on PBEsol structure; values from VASP
! - calculated volume (Å³/cell) = 129.1
! - raw total energy (eV per atom) = -22.445
! - symmetry = No. 221
! - ΔE_f (raw) (eV per atom) = 0.422
&SYSTEM
  ibrav = 0, nat = 5, ntyp = 3
/
ATOMIC_SPECIES
Sc 44.96 Sc.upf
I 126.90 I.upf
Mo 95.94 Mo.upf
CELL_PARAMETERS angstrom
5.0541 0.0000 0.0000
0.0000 5.0541 0.0000
0.0000 0.0000 5.0541
ATOMIC_POSITIONS angstrom
Sc 0.0000 2.5271 0.0000
Sc 0.0000 0.0000 2.5271
I 2.5271 2.5271 2.5271
Sc 2.5271 0.0000 0.0000
Mo 0.0000 0.0000 0.0000